(1)
Entry from the Alexandria database: a geometry-optimized LiBr2N structure (PBE).

```
LiBr2N
1.0
2.386 0.000 7.259
-1.193 2.066 7.259
-1.193 -2.066 7.259
Li Br N
1 2 1
Direct
0.500 0.500 0.500
0.898 0.898 0.898
0.102 0.102 0.102
0.000 0.000 0.000
```

Summary:
* SG: R-3m, No. 166
* ΔE_f (raw): 0.40 eV/atom


(2)
Entry from the Alexandria database: a geometry-optimized AcCuPI structure (PBE).

```
AcCuPI
1.0
-0.504 -0.160 4.266
1.692 -3.253 2.244
13.158 6.745 3.974
Cu I Ac P
2 2 2 2
Direct
0.686 0.686 0.941
0.314 0.314 0.059
0.787 0.787 0.638
0.213 0.213 0.362
0.070 0.070 0.791
0.930 0.930 0.209
0.366 0.366 0.901
0.634 0.634 0.099
```

Summary:
* SG: R-3m, No. 166
* ΔE_f (raw): -0.99 eV/atom


(3)
Entry from the Alexandria database: a geometry-optimized Pm4PrY6 structure (PBE).

```
Pm4PrY6
1.0
-2.627 -3.084 4.176
-0.416 -1.531 -5.446
21.366 -14.781 2.522
Y Pm Pr
12 8 2
Direct
0.480 0.960 0.250
0.857 0.714 0.819
0.189 0.379 0.898
0.520 0.040 0.750
0.143 0.286 0.181
0.857 0.714 0.681
0.189 0.379 0.602
0.500 0.000 0.000
0.143 0.286 0.319
0.811 0.621 0.398
0.500 0.000 0.500
0.811 0.621 0.102
0.157 0.314 0.043
0.531 0.061 0.878
0.843 0.686 0.543
0.531 0.061 0.622
0.843 0.686 0.957
0.469 0.939 0.378
0.157 0.314 0.457
0.469 0.939 0.122
0.815 0.630 0.250
0.185 0.370 0.750
```

Summary:
* SG: Cmcm, No. 63
* calculated formation energy: 114 kJ/mol of formula units


(4)
Entry from the Alexandria database: a geometry-optimized CeTm3Fe structure (PBE).

```
CeTm3Fe
1.0
-1.625 -1.062 2.935
5.877 0.387 3.395
-1.327 10.805 1.067
Ce Tm Fe
2 6 2
Direct
0.738 0.750 0.977
0.262 0.250 0.023
0.883 0.507 0.266
0.117 0.007 0.734
0.883 0.993 0.266
0.501 0.750 0.502
0.117 0.493 0.734
0.499 0.250 0.498
0.307 0.750 0.113
0.693 0.250 0.887
```

Summary:
* SG: P2_1/m, No. 11
* calculated formation energy: -22 kJ/mol of formula units


(5)
Entry from the Alexandria database: a geometry-optimized ScNb2VRh structure (PBE).

```
ScNb2VRh
1.0
4.856 0.000 0.000
0.000 4.718 0.000
0.000 0.000 4.856
Nb V Sc Rh
2 1 1 1
Direct
0.500 0.000 0.000
0.000 0.000 0.500
0.500 0.500 0.500
0.000 0.500 0.000
0.000 0.000 0.000
```

Summary:
* SG: P4/mmm, No. 123
* calculated formation energy: 478 kJ/mol of formula units


(6)
Entry from the Alexandria database: a geometry-optimized Pu2Zr5N4 structure (PBE).

```
Pu2Zr5N4
1.0
3.308 0.000 0.000
0.000 8.279 -0.270
-1.654 -5.597 6.846
N Zr Pu
4 5 2
Direct
0.357 0.641 0.715
0.067 0.931 0.135
0.643 0.359 0.285
0.933 0.069 0.865
0.793 0.708 0.586
0.500 0.000 0.000
0.207 0.292 0.414
0.925 0.582 0.851
0.075 0.418 0.149
0.357 0.139 0.714
0.643 0.861 0.286
```

Summary:
* SG: C2/m, No. 12
* ΔE_f (raw): -1.09 eV/atom


| no. | magnetization (μB per formula unit) |
| --- | --- |
| 1 | 2.00 |
| 2 | 0.00 |
| 3 | 0.00 |
| 4 | 0.00 |
| 5 | 0.00 |
| 6 | 11.36 |